DFT (PBEsol) results for Cu2BiO2 after structural relaxation.

Calculated values
- total DFT energy (no corrections) (eV per atom) = -4.86
- uncorrected formation energy (meV per atom) = -171

Cell lengths 3.4025, 3.4025, 10.6709 Å; angles 90.00, 90.00, 90.00 degrees
Space group I4/mmm (No. 139)
Unique sites:
Cu  0.0000  0.5000  0.2500 [4 per cell]
Bi  0.0000  0.0000  0.0000 [2 per cell]
O  0.0000  0.0000  0.3774 [4 per cell]